A plane-wave DFT calculation with GGA-PBE was carried out for a relaxed structure of SiAgHg.

POSCAR file:
```
SiAgHg
1.0
-3.138 0.313 -0.482
1.075 -1.922 2.307
-0.151 4.992 4.230
Si Ag Hg
1 1 1
Cartesian
-1.837 2.979 3.339
-0.148 4.876 4.132
-0.380 0.520 2.816
```

## Properties
Crystal system: trigonal
Offset from the most stable computed form (kJ/mol of formula units): 12
SG: P3m1 (156)
N(E_F) (states/eV per atom): 0.30
Formation energy without anion corrections (kcal/mol of atoms): 7.9